[1]
DFT (PBE) results for an optimized crystal structure of MgPt2Rh.

Summary:
Total energy in eV/atom: -5.698
Energy of formation from the pure elements in eV per atom: -0.441

a = 2.8326 Å, b = 4.7518 Å, c = 5.6611 Å
α = 53.33°, β = 90.00°, γ = 90.00°
Last column: nearest neighbours and their distance in Å.
Fractional coordinates of all 4 atoms:
Mg 0.0000 0.0000 0.5000  6 Pt 2.76-2.83, 4 Rh 2.77, 2 Mg 2.83
Pt 0.0000 0.0000 0.0000  4 Rh 2.76, 6 Pt 2.77-2.83, 2 Mg 2.83
Pt 0.5000 0.5000 0.0000  4 Mg 2.76, 6 Pt 2.77-2.83, 2 Rh 2.83
Rh 0.5000 0.5000 0.5000  6 Pt 2.76-2.83, 4 Mg 2.77, 2 Rh 2.83

=====

[2]
DFT (PBE) results for an optimized crystal structure of TiAlN3.

Summary:
Total energy in eV/atom: -7.017
Formation energy (no corrections) in eV per atom: 0.3059

a = 3.6593 Å, b = 3.6593 Å, c = 3.6593 Å
α = 90.00°, β = 90.00°, γ = 90.00°
Last column: nearest neighbours and their distance in Å.
Fractional coordinates of all 5 atoms:
Al 0.0000 0.0000 0.0000  6 N 1.83
N 0.0000 0.5000 0.0000  2 Al 1.83
N 0.0000 0.0000 0.5000  2 Al 1.83
N 0.5000 0.0000 0.0000  2 Al 1.83
Ti 0.5000 0.5000 0.5000  12 N 2.59

=====

[3]
DFT (PBE) results for an optimized crystal structure of CsSrAgBr4.

Summary:
Total energy in eV/atom: -3.240
Formation energy (no corrections) in eV per atom: -1.5144

a = 7.3921 Å, b = 7.6588 Å, c = 9.9981 Å
α = 90.00°, β = 109.91°, γ = 90.00°
Last column: nearest neighbours and their distance in Å.
Fractional coordinates of all 14 atoms:
Ag 0.2298 0.7500 0.3238  4 Br 2.66-2.73
Ag 0.7702 0.2500 0.6762  4 Br 2.66-2.73
Br 0.4373 0.7500 0.1527  1 Ag 2.66
Br 0.9693 0.0117 0.2945  1 Ag 2.73
Br 0.4779 0.7500 0.5918  1 Ag 2.68
Br 0.5627 0.2500 0.8473  1 Ag 2.66
Br 0.9693 0.4883 0.2945  1 Ag 2.73
Br 0.5221 0.2500 0.4082  1 Ag 2.68
Br 0.0307 0.5117 0.7055  1 Ag 2.73
Br 0.0307 0.9883 0.7055  1 Ag 2.73
Sr 0.2223 0.2500 0.5532  6 Br 3.03-3.20
Sr 0.7777 0.7500 0.4468  6 Br 3.03-3.20
Cs 0.2401 0.2500 0.0515  4 Br 3.46-3.84
Cs 0.7599 0.7500 0.9485  4 Br 3.46-3.84

=====

[4]
DFT (PBE) results for an optimized crystal structure of BaCd2SnHg4.

Summary:
Total energy in eV/atom: -1.326
Energy of formation from the pure elements in eV per atom: -0.206

a = 5.0105 Å, b = 5.0105 Å, c = 10.7847 Å
α = 76.57°, β = 76.57°, γ = 60.00°
Last column: nearest neighbours and their distance in Å.
Fractional coordinates of all 8 atoms:
Cd 0.2444 0.2444 0.2669  6 Hg 3.02-3.12
Cd 0.7556 0.7556 0.7331  6 Hg 3.02-3.12
Sn 0.5000 0.5000 0.5000  8 Hg 3.15-3.30
Ba 0.0000 0.0000 0.0000  6 Hg 3.46
Hg 0.3942 0.3942 0.8173  3 Cd 3.02, 1 Sn 3.30
Hg 0.8731 0.8731 0.3806  3 Cd 3.12, 3 Sn 3.15
Hg 0.1269 0.1269 0.6194  3 Cd 3.12, 3 Sn 3.15
Hg 0.6058 0.6058 0.1827  3 Cd 3.02, 1 Sn 3.30

=====

[5]
DFT (PBE) results for an optimized crystal structure of CsSnAs2Br.

Summary:
Total energy in eV/atom: -3.264
E above lowest polymorph in kJ/mol of formula units: 0
Formation energy (no corrections) in eV per atom: -0.0987

a = 5.3296 Å, b = 5.3296 Å, c = 6.3943 Å
α = 90.00°, β = 90.00°, γ = 90.00°
Last column: nearest neighbours and their distance in Å.
Fractional coordinates of all 5 atoms:
Sn 0.0000 0.0000 0.0000  4 As 2.66
Br 0.0000 0.0000 0.5000  2 Sn 3.20
As 0.5000 0.0000 0.0000  2 Sn 2.66
As 0.0000 0.5000 0.0000  2 Sn 2.66
Cs 0.5000 0.5000 0.5000  4 Br 3.77, 8 As 4.16

=====

[6]
DFT (PBE) results for an optimized crystal structure of LiCa2Y.

Summary:
Total energy in eV/atom: -2.940
E above lowest polymorph in kJ/mol of formula units: 23
Energy of formation from the pure elements in eV per atom: 0.155

a = 5.8184 Å, b = 3.5676 Å, c = 6.7068 Å
α = 80.81°, β = 90.00°, γ = 90.00°
Last column: nearest neighbours and their distance in Å.
Fractional coordinates of all 4 atoms:
Y 0.5000 0.7126 0.7482  2 Li 3.49, 5 Ca 3.55-3.83, 2 Y 3.57
Ca 0.5000 0.2775 0.2624  2 Li 3.47, 3 Y 3.55-3.83, 4 Ca 3.57-3.65
Ca 0.0000 0.0228 0.9844  2 Li 3.37-3.70, 4 Ca 3.57-3.65, 2 Y 3.57
Li 0.0000 0.4870 0.5050  4 Ca 3.37-3.70, 2 Y 3.49, 2 Li 3.57

=====

[7]
DFT (PBE) results for an optimized crystal structure of VPt3Rh6.

Summary:
Total energy in eV/atom: -7.055
Energy of formation from the pure elements in eV per atom: 0.080

a = 5.0835 Å, b = 5.0835 Å, c = 6.8048 Å
α = 90.00°, β = 90.00°, γ = 120.00°
Last column: nearest neighbours and their distance in Å.
Fractional coordinates of all 10 atoms:
Rh 0.0000 0.6034 0.1807  1 V 2.36
Rh 0.6034 0.6034 0.8193  1 V 2.36
Rh 0.0000 0.3966 0.8193  1 V 2.36
Rh 0.3966 0.3966 0.1807  1 V 2.36
Rh 0.3966 0.0000 0.8193  1 V 2.36
Rh 0.6034 0.0000 0.1807  1 V 2.36
Pt 0.6667 0.3333 0.5000  6 Rh 2.67, 6 Pt 2.93
Pt 0.3333 0.6667 0.5000  6 Rh 2.67, 6 Pt 2.93
Pt 0.0000 0.0000 0.5000  6 Pt 2.93, 6 Rh 2.96
V 0.0000 0.0000 0.0000  6 Rh 2.36

=====

[8]
DFT (PBE) results for an optimized crystal structure of Re2Rh2I.

Summary:
Total energy in eV/atom: -7.573
E above lowest polymorph in kJ/mol of formula units: 0
Formation energy (no corrections) in eV per atom: 0.6567

a = 7.8761 Å, b = 7.8761 Å, c = 2.8041 Å
α = 90.00°, β = 90.00°, γ = 90.00°
Last column: nearest neighbours and their distance in Å.
Fractional coordinates of all 10 atoms:
Re 0.1163 0.3837 0.0000  3 Re 2.59-2.80, 6 Rh 2.66-2.80
Re 0.6163 0.1163 0.0000  3 Re 2.59-2.80, 6 Rh 2.66-2.80
Re 0.3837 0.8837 0.0000  3 Re 2.59-2.80, 6 Rh 2.66-2.80
Re 0.8837 0.6163 0.0000  3 Re 2.59-2.80, 6 Rh 2.66-2.80
I 0.0000 0.0000 0.0000  2 I 2.80
I 0.5000 0.5000 0.0000  2 I 2.80
Rh 0.3340 0.1660 0.5000  6 Re 2.66-2.80, 2 Rh 2.80
Rh 0.1660 0.6660 0.5000  6 Re 2.66-2.80, 2 Rh 2.80
Rh 0.8340 0.3340 0.5000  6 Re 2.66-2.80, 2 Rh 2.80
Rh 0.6660 0.8340 0.5000  6 Re 2.66-2.80, 2 Rh 2.80

=====

[9]
DFT (PBE) results for an optimized crystal structure of Tb6TlSi2Se3.

Summary:
Total energy in eV/atom: -5.484
Formation energy (no corrections) in eV per atom: -1.1967

a = 4.1406 Å, b = 8.4565 Å, c = 9.4270 Å
α = 106.00°, β = 102.69°, γ = 90.00°
Last column: nearest neighbours and their distance in Å.
Fractional coordinates of all 12 atoms:
Se 0.1663 0.8279 0.3326  6 Tb 2.85-3.03
Se 0.8337 0.1721 0.6674  6 Tb 2.85-3.03
Se 0.5000 0.5000 0.0000  6 Tb 2.87-3.04
Si 0.1642 0.3261 0.3284  6 Tb 2.90
Si 0.8358 0.6739 0.6716  6 Tb 2.90
Tb 0.6724 0.0923 0.3447  3 Se 2.85-3.03, 2 Si 2.90, 1 Tl 3.04
Tb 0.3285 0.4302 0.6570  3 Si 2.90, 3 Se 3.03-3.04
Tb 0.3276 0.9077 0.6553  3 Se 2.85-3.03, 2 Si 2.90, 1 Tl 3.04
Tb 0.0009 0.2661 0.0017  3 Se 2.87-2.95, 1 Si 2.90, 2 Tl 3.05
Tb 0.6715 0.5698 0.3430  3 Si 2.90, 3 Se 3.03-3.04
Tb 0.9991 0.7339 0.9983  3 Se 2.87-2.95, 1 Si 2.90, 2 Tl 3.05
Tl 0.5000 0.0000 0.0000  6 Tb 3.04-3.05

=====

[10]
DFT (PBE) results for an optimized crystal structure of In6I5Br2.

Summary:
Total energy in eV/atom: -2.593
Formation energy (no corrections) in eV per atom: -0.4751

a = 4.9502 Å, b = 13.4572 Å, c = 15.6527 Å
α = 90.00°, β = 90.00°, γ = 90.00°
Last column: nearest neighbours and their distance in Å.
Fractional coordinates of all 26 atoms:
In 0.5000 0.8187 0.3690  2 Br 2.98, 3 I 3.19-3.33
In 0.0000 0.1650 0.3762  1 Br 3.41, 4 I 3.47-3.57
In 0.0000 0.4994 0.3908  1 Br 3.14, 2 I 3.41, 1 In 3.42
In 0.0000 0.9994 0.1092  1 Br 3.14, 2 I 3.41, 1 In 3.42
In 0.0000 0.3350 0.8762  1 Br 3.41, 4 I 3.47-3.57
In 0.5000 0.6813 0.8690  2 Br 2.98, 3 I 3.19-3.33
In 0.0000 0.6650 0.1238  1 Br 3.41, 4 I 3.47-3.57
In 0.0000 0.0006 0.8908  1 Br 3.14, 2 I 3.41, 1 In 3.42
In 0.0000 0.8350 0.6238  1 Br 3.41, 4 I 3.47-3.57
In 0.5000 0.1813 0.6310  2 Br 2.98, 3 I 3.19-3.33
In 0.0000 0.5006 0.6092  1 Br 3.14, 2 I 3.41, 1 In 3.42
In 0.5000 0.3187 0.1310  2 Br 2.98, 3 I 3.19-3.33
Br 0.0000 0.6444 0.7673  3 In 2.98-3.14
Br 0.0000 0.8556 0.2673  3 In 2.98-3.14
Br 0.0000 0.1444 0.7327  3 In 2.98-3.14
Br 0.0000 0.3556 0.2327  3 In 2.98-3.14
I 0.5000 0.5000 0.0000  2 In 3.19
I 0.5000 0.3290 0.4606  5 In 3.33-3.57
I 0.5000 0.8290 0.0394  5 In 3.33-3.57
I 0.5000 0.1037 0.2298  5 In 3.28-3.47
I 0.5000 0.6037 0.2702  5 In 3.28-3.47
I 0.5000 0.6710 0.5394  5 In 3.33-3.57
I 0.5000 0.3963 0.7298  5 In 3.28-3.47
I 0.5000 0.0000 0.5000  2 In 3.19
I 0.5000 0.8963 0.7702  5 In 3.28-3.47
I 0.5000 0.1710 0.9606  5 In 3.33-3.57

=====

[11]
DFT (PBE) results for an optimized crystal structure of Nd5Pd2Pb.

Summary:
Total energy in eV/atom: -5.302
Energy of formation from the pure elements in eV per atom: -0.560

a = 8.1567 Å, b = 8.1567 Å, c = 9.0135 Å
α = 116.90°, β = 116.90°, γ = 90.00°
Last column: nearest neighbours and their distance in Å.
Fractional coordinates of all 16 atoms:
Pd 0.8675 0.6325 0.0000  1 Pd 3.06, 8 Nd 3.07-3.19
Pd 0.3675 0.8675 0.0000  1 Pd 3.06, 8 Nd 3.07-3.19
Pd 0.6325 0.1325 0.0000  1 Pd 3.06, 8 Nd 3.07-3.19
Pd 0.1325 0.3675 0.0000  1 Pd 3.06, 8 Nd 3.07-3.19
Nd 0.2981 0.7981 0.2816  3 Pd 3.07-3.11, 2 Pb 3.43
Nd 0.2019 0.0165 0.7184  3 Pd 3.07-3.11, 2 Pb 3.43
Nd 0.7019 0.2019 0.7184  3 Pd 3.07-3.11, 2 Pb 3.43
Nd 0.5000 0.5000 0.0000  4 Pd 3.19, 2 Pb 3.46
Nd 0.0165 0.5165 0.7184  3 Pd 3.07-3.11, 2 Pb 3.43
Nd 0.0000 0.0000 0.0000  4 Pd 3.19, 2 Pb 3.46
Nd 0.4835 0.2981 0.2816  3 Pd 3.07-3.11, 2 Pb 3.43
Nd 0.7981 0.9835 0.2816  3 Pd 3.07-3.11, 2 Pb 3.43
Nd 0.9835 0.4835 0.2816  3 Pd 3.07-3.11, 2 Pb 3.43
Nd 0.5165 0.7019 0.7184  3 Pd 3.07-3.11, 2 Pb 3.43
Pb 0.7500 0.7500 0.5000  10 Nd 3.43-3.46
Pb 0.2500 0.2500 0.5000  10 Nd 3.43-3.46

=====

[12]
DFT (PBE) results for an optimized crystal structure of Ti8RePb2.

Summary:
Total energy in eV/atom: -7.619
Energy of formation from the pure elements in eV per atom: -0.071

a = 4.6947 Å, b = 6.3637 Å, c = 7.8617 Å
α = 113.88°, β = 107.37°, γ = 90.00°
Last column: nearest neighbours and their distance in Å.
Fractional coordinates of all 11 atoms:
Pb 0.8121 0.3121 0.6243  12 Ti 2.89-3.20
Pb 0.1879 0.6879 0.3757  12 Ti 2.89-3.20
Ti 0.1665 0.1665 0.3329  6 Ti 2.78-2.92, 2 Pb 3.07
Ti 0.6335 0.8711 0.2670  1 Re 2.47
Ti 0.0000 0.2530 0.0000  6 Ti 2.78-2.97, 2 Re 2.85, 2 Pb 3.00
Ti 0.8335 0.8335 0.6671  6 Ti 2.78-2.92, 2 Pb 3.07
Ti 0.0000 0.7470 0.0000  6 Ti 2.78-2.97, 2 Re 2.85, 2 Pb 3.00
Ti 0.6335 0.3959 0.2670  1 Re 2.47
Ti 0.3665 0.6041 0.7330  1 Re 2.47
Ti 0.3665 0.1289 0.7330  1 Re 2.47
Re 0.5000 0.0000 0.0000  4 Ti 2.47